Density functional theory data (PBE) for an optimized crystal structure of CaMg6Nb.

electronic total energy: -0.189 Ry per atom
offset from the most stable computed form: 23 meV/atom
energy of formation from the pure elements: 0.129 eV/atom

abc: 6.426 6.426 5.081
angles: 90.00 90.00 120.00
Positions (direct):
1 Ca 0.000 0.000 0.000
2 Mg 0.020 0.510 0.000
3 Mg 0.344 0.172 0.500
4 Mg 0.490 0.510 0.000
5 Mg 0.490 0.980 0.000
6 Mg 0.828 0.172 0.500
7 Mg 0.828 0.656 0.500
8 Nb 0.333 0.667 0.500